(1)
## YCS2 (PBE)

Data for a relaxed structure of YCS2.

Values from the calculation:
Its crystal system is trigonal. The calculation puts the energy relative to the elements, uncorrected at 23.0 meV/atom. The calculation puts the density of states at the Fermi level at 0.34 states/eV/atom. For the total energy, the calculation gives -5.963 eV/atom.

abc: 3.9086 3.9086 19.4530
angles: 90.00 90.00 120.00
Atoms (fractional coordinates):
Y: 0.0000 0.0000 0.0000
Y: 0.3333 0.6667 0.6667
Y: 0.6667 0.3333 0.3333
C: 0.0000 0.0000 0.5000
C: 0.3333 0.6667 0.1667
C: 0.6667 0.3333 0.8333
S: 0.0000 0.0000 0.4164
S: 0.0000 0.0000 0.5836
S: 0.3333 0.6667 0.0830
S: 0.3333 0.6667 0.2503
S: 0.6667 0.3333 0.7497
S: 0.6667 0.3333 0.9170



(2)
## YGaMo (PBE)

Data for a relaxed structure of YGaMo.

Values from the calculation:
Its crystal system is tetragonal. The calculation puts the density of states at the Fermi level at 0.53 states/eV/atom. For the total energy, the calculation gives -7.107 eV/atom. The value obtained for the formation energy from the elements is -333 meV/atom.

abc: 3.9301 3.9301 7.9477
angles: 90.00 90.00 90.00
Atoms (fractional coordinates):
Y: 0.2500 0.2500 0.1500
Y: 0.7500 0.7500 0.8500
Ga: 0.2500 0.2500 0.7368
Ga: 0.7500 0.7500 0.2632
Mo: 0.2500 0.7500 0.5000
Mo: 0.7500 0.2500 0.5000



(3)
## Ba2HoPaP4 (PBE)

Data for a relaxed structure of Ba2HoPaP4.

Values from the calculation:
Its crystal system is monoclinic. The calculation puts the density of states at the Fermi level at 0.02 states/eV/atom. For the total energy, the calculation gives -6.180 eV/atom. The value obtained for the formation energy from the elements is -1235 meV/atom.

abc: 7.2444 4.2466 7.6934
angles: 90.00 108.54 90.00
Atoms (fractional coordinates):
Ba: 0.0000 0.0000 0.0000
Ba: 0.5000 0.5000 0.0000
Ho: 0.0000 0.5000 0.5000
Pa: 0.5000 0.0000 0.5000
P: 0.2449 0.0000 0.7023
P: 0.2744 0.5000 0.3004
P: 0.7256 0.5000 0.6996
P: 0.7551 0.0000 0.2977



Copy entry 1 word for word.
## YCS2 (PBE)

Data for a relaxed structure of YCS2.

Values from the calculation:
Its crystal system is trigonal. The calculation puts the energy relative to the elements, uncorrected at 23.0 meV/atom. The calculation puts the density of states at the Fermi level at 0.34 states/eV/atom. For the total energy, the calculation gives -5.963 eV/atom.

abc: 3.9086 3.9086 19.4530
angles: 90.00 90.00 120.00
Atoms (fractional coordinates):
Y: 0.0000 0.0000 0.0000
Y: 0.3333 0.6667 0.6667
Y: 0.6667 0.3333 0.3333
C: 0.0000 0.0000 0.5000
C: 0.3333 0.6667 0.1667
C: 0.6667 0.3333 0.8333
S: 0.0000 0.0000 0.4164
S: 0.0000 0.0000 0.5836
S: 0.3333 0.6667 0.0830
S: 0.3333 0.6667 0.2503
S: 0.6667 0.3333 0.7497
S: 0.6667 0.3333 0.9170